w:
DFT (PBE-GGA) results for a geometry-optimized BaPaTe3 structure.

The structure belongs to space group C2/m (No. 12); the cell edges are 17.760, 4.505 and 10.187 Å and the angles 90.00°, 93.48° and 90.00°. The distinct sites, in fractional coordinates, are Ba at (0.105, 0.000, 0.420), Pa at (0.191, 0.500, 0.841), Te at (0.045, 0.500, 0.678), Te at (0.145, 0.000, 0.028) and Te at (0.246, 0.500, 0.329).

The calculated density is 6.133 Mg/m³.

=====

x:
DFT (PBE-GGA) results for a geometry-optimized BaPaTe3 structure.

The structure belongs to space group Pm-3m (No. 221); the cell edges are 5.935, 5.935 and 5.935 Å and the angles 90.00°, 90.00° and 90.00°. The distinct sites, in fractional coordinates, are Ba at (0.000, 0.000, 0.000), Pa at (0.500, 0.500, 0.500) and Te at (0.000, 0.500, 0.500).

The calculated density is 5.968 Mg/m³.

=====

Q: Which of them is the least stable? A: x.

=====

w:
DFT (PBE-GGA) results for a geometry-optimized Ba5Pb3 structure.

The structure belongs to space group Cmmm (No. 65); the cell edges are 9.616, 13.089 and 5.911 Å and the angles 90.00°, 90.00° and 90.00°. The distinct sites, in fractional coordinates, are Ba at (0.000, 0.000, 0.000), Ba at (0.193, 0.500, 0.500), Ba at (0.250, 0.250, 0.000), Pb at (0.000, 0.159, 0.500) and Pb at (0.000, 0.500, 0.000).

The calculated density is 5.840 Mg/m³.

=====

x:
DFT (PBE-GGA) results for a geometry-optimized Ba5Pb3 structure.

The structure belongs to space group I4/mcm (No. 140); the cell edges are 9.138, 9.138 and 17.576 Å and the angles 90.00°, 90.00° and 90.00°. The distinct sites, in fractional coordinates, are Ba at (0.000, 0.000, 0.000), Ba at (0.176, 0.324, 0.144), Pb at (0.000, 0.000, 0.250) and Pb at (0.120, 0.380, 0.500).

The calculated density is 5.920 Mg/m³.

=====

Q: Which of them is the least stable? A: w.

=====

w:
DFT (PBE-GGA) results for a geometry-optimized Ba4Pb structure.

The structure belongs to space group Im-3m (No. 229); the cell edges are 8.345, 8.345 and 8.345 Å and the angles 90.00°, 90.00° and 90.00°. The distinct sites, in fractional coordinates, are Ba at (0.250, 0.250, 0.250) and Pb at (0.000, 0.000, 0.000).

The calculated density is 4.323 Mg/m³.

=====

x:
DFT (PBE-GGA) results for a geometry-optimized Ba4Pb structure.

The structure belongs to space group Pm-3m (No. 221); the cell edges are 6.891, 6.891 and 6.891 Å and the angles 90.00°, 90.00° and 90.00°. The distinct sites, in fractional coordinates, are Ba at (0.000, 0.000, 0.000), Ba at (0.000, 0.500, 0.500) and Pb at (0.500, 0.500, 0.500).

The calculated density is 3.838 Mg/m³.

=====

Q: Which of them is the least stable? A: w.

=====

w:
DFT (PBE-GGA) results for a geometry-optimized Ba3Pd3Pb structure.

The structure belongs to space group P6_3/m (No. 176); the cell edges are 9.5985, 9.5985 and 6.4847 Å and the angles 90.00°, 90.00° and 120.00°. The distinct sites, in fractional coordinates, are Ba at (0.0603, 0.6980, 0.2500), Pd at (0.0589, 0.6858, 0.7500) and Pb at (0.3333, 0.6667, 0.7500).

The calculated density is 6.024 Mg/m³.

=====

x:
DFT (PBE-GGA) results for a geometry-optimized Ba3Pd3Pb structure.

The structure belongs to space group Cmcm (No. 63); the cell edges are 4.634, 11.920 and 15.494 Å and the angles 90.00°, 90.00° and 90.00°. The distinct sites, in fractional coordinates, are Ba at (0.000, 0.006, 0.250), Ba at (0.000, 0.286, 0.103), Pd at (0.000, 0.296, 0.750), Pd at (0.000, 0.423, 0.596) and Pb at (0.000, 0.000, 0.000).

The calculated density is 7.283 Mg/m³.

=====

Q: Which of them is the least stable? A: w.

=====

w:
DFT (PBE-GGA) results for a geometry-optimized BaPd4Pb2 structure.

The structure belongs to space group P4_2/mnm (No. 136); the cell edges are 8.580, 8.580 and 4.290 Å and the angles 90.00°, 90.00° and 90.00°. The distinct sites, in fractional coordinates, are Ba at (0.000, 0.000, 0.000), Pd at (0.083, 0.354, 0.500) and Pb at (0.223, 0.777, 0.500).

The calculated density is 10.278 Mg/m³.

=====

x:
DFT (PBE-GGA) results for a geometry-optimized BaPd4Pb2 structure.

The structure belongs to space group I4/mcm (No. 140); the cell edges are 8.543, 8.543 and 8.699 Å and the angles 90.00°, 90.00° and 90.00°. The distinct sites, in fractional coordinates, are Ba at (0.000, 0.000, 0.250), Pd at (0.145, 0.355, 0.165) and Pb at (0.152, 0.348, 0.500).

The calculated density is 10.226 Mg/m³.

=====

Q: Which of them is the least stable? A: w.

=====

w:
DFT (PBE-GGA) results for a geometry-optimized BaPd3Pb structure.

The structure belongs to space group Imma (No. 74); the cell edges are 5.789, 9.558 and 9.213 Å and the angles 90.00°, 90.00° and 90.00°. The distinct sites, in fractional coordinates, are Ba at (0.000, 0.250, 0.039), Pd at (0.000, 0.250, 0.657), Pd at (0.250, 0.021, 0.750) and Pb at (0.000, 0.000, 0.500).

The calculated density is 8.649 Mg/m³.

=====

x:
DFT (PBE-GGA) results for a geometry-optimized BaPd3Pb structure.

The structure belongs to space group Pm-3m (No. 221); the cell edges are 5.204, 5.204 and 5.204 Å and the angles 90.00°, 90.00° and 90.00°. The distinct sites, in fractional coordinates, are Ba at (0.000, 0.000, 0.000), Pd at (0.000, 0.500, 0.500) and Pb at (0.500, 0.500, 0.500).

The calculated density is 7.821 Mg/m³.

=====

y:
DFT (PBE-GGA) results for a geometry-optimized BaPd3Pb structure.

The structure belongs to space group Pm-3m (No. 221); the cell edges are 5.388, 5.388 and 5.388 Å and the angles 90.00°, 90.00° and 90.00°. The distinct sites, in fractional coordinates, are Ba at (0.000, 0.000, 0.000), Pd at (0.000, 0.000, 0.500) and Pb at (0.500, 0.500, 0.500).

The calculated density is 7.045 Mg/m³.

=====

z:
DFT (PBE-GGA) results for a geometry-optimized BaPd3Pb structure.

The structure belongs to space group Imma (No. 74); the cell edges are 6.076, 10.789 and 7.972 Å and the angles 90.00°, 90.00° and 90.00°. The distinct sites, in fractional coordinates, are Ba at (0.000, 0.250, 0.076), Pd at (0.000, 0.250, 0.535), Pd at (0.250, 0.107, 0.750) and Pb at (0.000, 0.000, 0.500).

The calculated density is 8.437 Mg/m³.

=====

Q: Which of them is the least stable? A: y.